Here is a relaxed structure of KBaTa from Alexandria. Energies are from GGA-PBE.

```
KBaTa
1.0
6.151 0.000 0.000
-3.075 5.327 0.000
0.000 0.000 3.085
K Ba Ta
1 1 1
Direct
0.000 0.000 0.000
0.333 0.667 0.007
0.667 0.333 0.506
```

Results
- space-group type = P3m1, No. 156
- energy of formation (meV/atom) = 1399
- calculated volume (Å³/atom) = 33.696

Here is a relaxed structure of KBaTa from Alexandria. Energies are from GGA-PBE.

```
KBaTa
1.0
5.088 0.000 0.000
0.000 4.434 0.000
-2.520 0.000 12.898
K Ba Ta
2 2 2
Direct
0.188 0.250 0.377
0.812 0.750 0.623
0.428 0.250 0.856
0.572 0.750 0.144
0.023 0.250 0.047
0.977 0.750 0.953
```

Results
- space-group type = P2_1/m, No. 11
- energy of formation (meV/atom) = 715
- calculated volume (Å³/atom) = 48.500

Here is a relaxed structure of KBa2TaW from Alexandria. Energies are from GGA-PBE.

```
KBa2TaW
1.0
6.507 0.000 0.000
0.000 6.507 0.000
0.000 0.000 4.926
K Ba Ta W
1 2 1 1
Direct
0.000 0.000 0.000
0.000 0.500 0.500
0.500 0.000 0.500
0.500 0.500 0.000
0.500 0.500 0.500
```

Results
- space-group type = P4/mmm, No. 123
- energy of formation (meV/atom) = 1078
- calculated volume (Å³/atom) = 41.714

Here is a relaxed structure of KBaTc2 from Alexandria. Energies are from GGA-PBE.

```
KBaTc2
1.0
7.169 0.000 0.000
0.000 4.135 0.000
-2.183 0.000 9.594
K Ba Tc
2 2 4
Direct
0.000 0.000 0.000
0.500 0.500 0.000
0.335 0.500 0.457
0.835 0.000 0.457
0.076 0.500 0.702
0.251 0.000 0.728
0.576 0.000 0.702
0.751 0.500 0.728
```

Results
- space-group type = Cm, No. 8
- energy of formation (meV/atom) = 535
- calculated volume (Å³/atom) = 35.550

Here is a relaxed structure of KBa3Tc from Alexandria. Energies are from GGA-PBE.

```
KBa3Tc
1.0
6.247 0.000 0.000
0.000 6.247 0.000
0.000 0.000 6.247
K Ba Tc
1 3 1
Direct
0.000 0.000 0.000
0.000 0.500 0.500
0.500 0.000 0.500
0.500 0.500 0.000
0.500 0.500 0.500
```

Results
- space-group type = Pm-3m, No. 221
- energy of formation (meV/atom) = 469
- calculated volume (Å³/atom) = 48.757

Here is a relaxed structure of KBaTc2 from Alexandria. Energies are from GGA-PBE.

```
KBaTc2
1.0
3.027 0.000 0.000
-1.513 2.621 0.000
0.000 0.000 35.304
K Ba Tc
3 3 6
Direct
0.000 0.000 0.000
0.333 0.667 0.667
0.667 0.333 0.333
0.000 0.000 0.500
0.333 0.667 0.167
0.667 0.333 0.833
0.000 0.000 0.249
0.000 0.000 0.751
0.333 0.667 0.417
0.333 0.667 0.916
0.667 0.333 0.084
0.667 0.333 0.583
```

Results
- space-group type = R-3m, No. 166
- energy of formation (meV/atom) = 1623
- calculated volume (Å³/atom) = 23.339

Here is a relaxed structure of KBaTc3 from Alexandria. Energies are from GGA-PBE.

```
KBaTc3
1.0
5.244 0.000 0.000
0.000 5.244 0.000
0.000 0.000 5.244
K Ba Tc
1 1 3
Direct
0.000 0.000 0.000
0.500 0.500 0.500
0.000 0.000 0.500
0.000 0.500 0.000
0.500 0.000 0.000
```

Results
- space-group type = Pm-3m, No. 221
- energy of formation (meV/atom) = 2691
- calculated volume (Å³/atom) = 28.836

Here is a relaxed structure of KBa2Tc from Alexandria. Energies are from GGA-PBE.

```
KBa2Tc
1.0
3.841 0.000 0.000
0.000 3.843 0.000
-0.014 0.000 11.678
K Ba Tc
1 2 1
Direct
0.000 0.000 0.000
0.498 0.500 0.335
0.502 0.500 0.665
0.000 0.000 0.500
```

Results
- space-group type = P2/m, No. 10
- energy of formation (meV/atom) = 648
- calculated volume (Å³/atom) = 43.096

Here is a relaxed structure of KBa2Tc from Alexandria. Energies are from GGA-PBE.

```
KBa2Tc
1.0
4.036 0.000 0.000
-2.018 3.496 0.000
0.000 0.000 37.430
K Ba Tc
3 6 3
Direct
0.000 0.000 0.000
0.333 0.667 0.667
0.667 0.333 0.333
0.000 0.000 0.223
0.000 0.000 0.777
0.333 0.667 0.443
0.333 0.667 0.890
0.667 0.333 0.110
0.667 0.333 0.557
0.000 0.000 0.500
0.333 0.667 0.167
0.667 0.333 0.833
```

Results
- space-group type = R-3m, No. 166
- energy of formation (meV/atom) = 762
- calculated volume (Å³/atom) = 44.012

Here is a relaxed structure of KBa2Tc from Alexandria. Energies are from GGA-PBE.

```
KBa2Tc
1.0
19.675 0.000 0.000
0.000 3.683 0.000
-1.429 0.000 5.123
K Ba Tc
2 4 2
Direct
0.000 0.000 0.000
0.500 0.500 0.000
0.186 0.500 0.687
0.342 0.500 0.342
0.686 0.000 0.687
0.842 0.000 0.342
0.323 0.000 0.823
0.823 0.500 0.823
```

Results
- space-group type = Cm, No. 8
- energy of formation (meV/atom) = 786
- calculated volume (Å³/atom) = 46.410

Here is a relaxed structure of KBaTc2 from Alexandria. Energies are from GGA-PBE.

```
KBaTc2
1.0
3.985 0.000 0.000
0.000 3.985 0.000
0.000 0.000 5.672
K Ba Tc
1 1 2
Direct
0.000 0.000 0.000
0.500 0.500 0.000
0.000 0.500 0.500
0.500 0.000 0.500
```

Results
- space-group type = P4/mmm, No. 123
- energy of formation (meV/atom) = 1426
- calculated volume (Å³/atom) = 22.515

Here is a relaxed structure of KBaTc2 from Alexandria. Energies are from GGA-PBE.

```
KBaTc2
1.0
3.226 0.000 0.000
0.000 3.856 0.000
-0.998 0.000 10.034
K Ba Tc
1 1 2
Direct
0.000 0.000 0.000
0.379 0.500 0.573
0.507 0.500 0.264
0.901 0.000 0.337
```

Results
- space-group type = Pm, No. 6
- energy of formation (meV/atom) = 691
- calculated volume (Å³/atom) = 31.199

- Which of these has the highest energy of formation?
  KBaTc3

- What is the energy of formation in the eleventh record?
  1426 meV/atom

- calculated volume of number 8 (KBa2Tc)?
  43.096 Å³/atom